(1)
Computed, not measured: crystalline ScCdAsO at its relaxed geometry at the GGA-PBE level of DFT.

Geometry as extended XYZ:
```
8
Lattice="4.1899 0.0000 0.0000 0.0000 5.6255 0.0000 0.0000 0.0000 6.3951" Properties=species:S:1:pos:R:3 pbc="T T T"
Sc 0.0000 1.2900 0.0000
Sc 0.0000 4.3355 3.1976
Cd 2.0949 1.9452 4.0543
Cd 2.0949 3.6802 0.8568
As 0.0000 1.4083 2.6748
As 0.0000 4.2172 5.8724
O 2.0949 1.4132 6.2498
O 2.0949 4.2123 3.0523
```

Results
total moment: 0.005 μB/cell
calculated density: 5.47 g cm⁻³
crystal system: orthorhombic
energy: -5.539 eV/atom

(2)
Computed, not measured: crystalline Lu4Al4O11 at its relaxed geometry at the GGA-PBE level of DFT.

Geometry as extended XYZ:
```
19
Lattice="5.0711 0.0000 0.0000 0.0000 7.2272 0.0000 -0.0108 0.0000 5.3285" Properties=species:S:1:pos:R:3 pbc="T T T"
Lu 0.0000 0.0000 0.0000
Lu 0.1389 3.6136 0.6866
Lu 2.5323 3.6136 3.3821
Lu 2.6762 0.0000 2.6557
Al 0.0704 1.8155 3.0111
Al 0.0704 5.4117 3.0111
Al 2.6154 1.8516 0.3551
Al 2.6154 5.3756 0.3551
O 0.5643 0.0000 3.1727
O 1.0645 2.1843 4.6143
O 1.0645 5.0428 4.6143
O 1.6120 2.1760 1.9605
O 1.6120 5.0512 1.9605
O 2.1151 0.0000 0.5064
O 3.6002 1.4574 4.0684
O 3.6002 5.7698 4.0684
O 4.1557 1.4535 1.3982
O 4.1557 5.7736 1.3982
O 4.6318 3.6136 2.8422
```

Results
total moment: 0.000 μB/cell
calculated density: 8.37 g cm⁻³
crystal system: monoclinic
energy: -7.800 eV/atom

(3)
Computed, not measured: crystalline TbYGe2Au2 at its relaxed geometry at the GGA-PBE level of DFT.

Geometry as extended XYZ:
```
6
Lattice="4.4840 0.0000 0.0000 -2.2420 3.8832 0.0000 0.0000 0.0000 7.3436" Properties=species:S:1:pos:R:3 pbc="T T T"
Tb 0.0000 0.0000 0.0000
Y 0.0000 0.0000 3.6717
Ge 0.0000 2.5888 1.5262
Ge 2.2420 1.2944 5.1977
Au 0.0000 2.5888 5.7805
Au 2.2420 1.2944 2.1180
```

Results
total moment: 0.010 μB/cell
calculated density: 10.22 g cm⁻³
crystal system: trigonal
energy: -5.320 eV/atom

(4)
Computed, not measured: crystalline Pr3CdIn2Cu2Pd at its relaxed geometry at the GGA-PBE level of DFT.

Geometry as extended XYZ:
```
9
Lattice="4.0919 0.0000 0.0000 0.0000 6.6978 3.8871 0.0000 -6.6978 3.8871" Properties=species:S:1:pos:R:3 pbc="T T T"
Pr 0.0000 0.0000 0.0000
Pr 0.0000 -2.7362 4.8183
Pr 0.0000 2.7362 4.8183
Cd 2.0460 0.0000 5.2014
In 2.0460 -1.6940 2.2308
In 2.0460 1.6940 2.2308
Cu 2.0460 -4.4480 3.2292
Cu 2.0460 4.4480 3.2292
Pd 0.0000 0.0000 3.1673
```

Results
total moment: 0.022 μB/cell
calculated density: 7.78 g cm⁻³
crystal system: orthorhombic
energy: -4.158 eV/atom

(5)
Computed, not measured: crystalline SmTlB4 at its relaxed geometry at the GGA-PBE level of DFT.

Geometry as extended XYZ:
```
6
Lattice="3.2207 0.0000 0.0000 -1.6103 2.7892 0.0000 0.0000 0.0000 9.1838" Properties=species:S:1:pos:R:3 pbc="T T T"
Sm 0.0000 0.0000 0.0000
Tl 0.0000 0.0000 4.5919
B 0.0000 1.8595 2.0094
B 0.0000 1.8595 7.1744
B 1.6103 0.9297 2.0094
B 1.6103 0.9297 7.1744
```

Results
total moment: 0.006 μB/cell
calculated density: 8.01 g cm⁻³
crystal system: hexagonal
energy: -5.397 eV/atom

(6)
Computed, not measured: crystalline DyYGa2Pt4 at its relaxed geometry at the GGA-PBE level of DFT.

Geometry as extended XYZ:
```
8
Lattice="4.3883 0.0000 0.0000 -2.1941 3.8003 0.0000 0.0000 0.0000 9.1201" Properties=species:S:1:pos:R:3 pbc="T T T"
Dy 0.0000 0.0000 0.0000
Y 2.1941 1.2668 4.5600
Ga 0.0000 2.5336 2.2791
Ga 0.0000 2.5336 6.8409
Pt 0.0000 0.0000 3.0478
Pt 0.0000 0.0000 6.0722
Pt 2.1941 1.2668 1.4962
Pt 2.1941 1.2668 7.6239
```

Results
total moment: 0.004 μB/cell
calculated density: 12.79 g cm⁻³
crystal system: hexagonal
energy: -6.229 eV/atom

(7)
Computed, not measured: crystalline NaDyZnSe3 at its relaxed geometry at the GGA-PBE level of DFT.

Geometry as extended XYZ:
```
12
Lattice="9.4899 -2.0270 0.0000 9.4899 2.0270 0.0000 -1.8694 0.0000 7.9407" Properties=species:S:1:pos:R:3 pbc="T T T"
Na 2.1874 0.0000 0.5798
Na 14.9231 0.0000 7.3609
Dy 2.2123 0.0000 4.6442
Dy 14.8982 0.0000 3.2966
Zn 8.3166 0.0000 2.1582
Zn 8.7939 0.0000 5.7825
Se -0.9347 0.0000 3.9704
Se 4.9569 0.0000 5.2098
Se 5.9974 0.0000 1.3962
Se 9.4899 0.0000 0.0000
Se 11.1131 0.0000 6.5446
Se 12.1536 0.0000 2.7310
```

Results
total moment: 0.005 μB/cell
calculated density: 5.30 g cm⁻³
crystal system: monoclinic
energy: -4.151 eV/atom

(8)
Computed, not measured: crystalline LiReTeAuSe2 at its relaxed geometry at the GGA-PBE level of DFT.

Geometry as extended XYZ:
```
12
Lattice="1.6845 -7.3746 0.0000 1.6845 7.3746 0.0000 0.0000 0.0000 10.5581" Properties=species:S:1:pos:R:3 pbc="T T T"
Li 1.6845 4.2365 7.9185
Li 1.6845 -4.2365 2.6395
Re 1.6845 0.0000 0.0000
Re 1.6845 0.0000 5.2790
Te 1.6845 0.7877 2.6395
Te 1.6845 -0.7877 7.9185
Au 1.6845 5.1854 2.6395
Au 1.6845 -5.1854 7.9185
Se 1.6845 5.4663 0.1843
Se 1.6845 5.4663 5.0947
Se 1.6845 -5.4663 5.4633
Se 1.6845 -5.4663 10.3738
```

Results
total moment: 1.782 μB/cell
calculated density: 8.55 g cm⁻³
crystal system: orthorhombic
energy: -4.738 eV/atom

(9)
Computed, not measured: crystalline RbTmAgSe3 at its relaxed geometry at the GGA-PBE level of DFT.

Geometry as extended XYZ:
```
24
Lattice="15.5256 0.0000 0.0000 0.0000 4.1050 0.0000 0.0000 0.0000 10.9347" Properties=species:S:1:pos:R:3 pbc="T T T"
Rb 3.6456 1.0263 0.4571
Rb 4.1172 3.0788 5.9244
Rb 11.4084 1.0263 5.0103
Rb 11.8800 3.0788 10.4776
Tm 0.3679 1.0263 3.7581
Tm 7.3949 3.0788 9.2254
Tm 8.1307 1.0263 1.7093
Tm 15.1577 3.0788 7.1766
Ag 0.2795 3.0788 1.0407
Ag 7.4833 1.0263 6.5080
Ag 8.0423 3.0788 4.4267
Ag 15.2461 1.0263 9.8940
Se 1.3644 3.0788 9.4819
Se 1.4265 1.0263 6.3526
Se 2.1281 3.0788 2.9165
Se 5.6347 1.0263 8.3838
Se 6.3363 3.0788 0.8852
Se 6.3984 1.0263 4.0145
Se 9.1272 3.0788 6.9202
Se 9.1893 1.0263 10.0495
Se 9.8909 3.0788 2.5509
Se 13.3975 1.0263 8.0182
Se 14.0991 3.0788 4.5821
Se 14.1612 1.0263 1.4528
```

Results
total moment: 0.003 μB/cell
calculated density: 5.71 g cm⁻³
crystal system: orthorhombic
energy: -4.239 eV/atom

(10)
Computed, not measured: crystalline InFeCuSe2S at its relaxed geometry at the GGA-PBE level of DFT.

Geometry as extended XYZ:
```
12
Lattice="1.8422 -6.7581 0.0000 1.8422 6.7581 0.0000 0.0000 0.0000 9.1417" Properties=species:S:1:pos:R:3 pbc="T T T"
In 1.8422 3.4015 6.8563
In 1.8422 -3.4015 2.2854
Fe 1.8422 0.0000 0.0000
Fe 1.8422 0.0000 4.5709
Cu 1.8422 6.4536 2.2854
Cu 1.8422 -6.4536 6.8563
Se 1.8422 4.9413 0.4326
Se 1.8422 4.9413 4.1383
Se 1.8422 -4.9413 5.0034
Se 1.8422 -4.9413 8.7092
S 1.8422 0.9792 2.2854
S 1.8422 -0.9792 6.8563
```

Results
total moment: 6.194 μB/cell
calculated density: 6.19 g cm⁻³
crystal system: orthorhombic
energy: -4.486 eV/atom

(11)
Computed, not measured: crystalline Ba2NbCo at its relaxed geometry at the GGA-PBE level of DFT.

Geometry as extended XYZ:
```
16
Lattice="7.5436 0.0000 0.0000 0.0000 7.5436 0.0000 0.0000 0.0000 7.5436" Properties=species:S:1:pos:R:3 pbc="T T T"
Ba 0.0000 0.0000 0.0000
Ba 0.0000 3.7718 3.7718
Ba 1.8859 1.8859 1.8859
Ba 1.8859 5.6577 5.6577
Ba 3.7718 0.0000 3.7718
Ba 3.7718 3.7718 0.0000
Ba 5.6577 1.8859 5.6577
Ba 5.6577 5.6577 1.8859
Nb 0.0000 0.0000 3.7718
Nb 0.0000 3.7718 0.0000
Nb 3.7718 0.0000 0.0000
Nb 3.7718 3.7718 3.7718
Co 1.8859 1.8859 5.6577
Co 1.8859 5.6577 1.8859
Co 5.6577 1.8859 1.8859
Co 5.6577 5.6577 5.6577
```

Results
total moment: 14.185 μB/cell
calculated density: 6.60 g cm⁻³
crystal system: cubic
energy: -4.056 eV/atom

(12)
Computed, not measured: crystalline Sc3Si4Pd2 at its relaxed geometry at the GGA-PBE level of DFT.

Geometry as extended XYZ:
```
9
Lattice="5.1321 -2.0084 0.0000 5.1321 2.0084 0.0000 -2.6075 0.0000 7.3725" Properties=species:S:1:pos:R:3 pbc="T T T"
Sc 0.0000 0.0000 0.0000
Sc 3.0612 0.0000 2.2424
Sc 4.5954 0.0000 5.1301
Si -0.3049 0.0000 3.0132
Si 0.4555 0.0000 6.9111
Si 7.2011 0.0000 0.4615
Si 7.9616 0.0000 4.3593
Pd 1.5721 0.0000 4.7960
Pd 6.0846 0.0000 2.5765
```

Results
total moment: 0.003 μB/cell
calculated density: 5.03 g cm⁻³
crystal system: monoclinic
energy: -6.524 eV/atom

(13)
Computed, not measured: crystalline ErBiPt at its relaxed geometry at the GGA-PBE level of DFT.

Geometry as extended XYZ:
```
6
Lattice="4.6700 0.0000 0.0000 -2.3350 4.0443 0.0000 0.0000 0.0000 7.6172" Properties=species:S:1:pos:R:3 pbc="T T T"
Er 0.0000 0.0000 0.0000
Er 0.0000 0.0000 3.8086
Bi 0.0000 2.6962 1.7836
Bi 2.3350 1.3481 5.5922
Pt 0.0000 2.6962 6.5132
Pt 2.3350 1.3481 2.7046
```

Results
total moment: 0.021 μB/cell
calculated density: 13.19 g cm⁻³
crystal system: hexagonal
energy: -5.769 eV/atom

(14)
Computed, not measured: crystalline CsPmW at its relaxed geometry at the GGA-PBE level of DFT.

Geometry as extended XYZ:
```
12
Lattice="7.5477 0.0000 0.0000 0.0000 7.5477 0.0000 0.0000 0.0000 7.5477" Properties=species:S:1:pos:R:3 pbc="T T T"
Cs 0.0000 0.0000 0.0000
Cs 0.0000 3.7738 3.7738
Cs 3.7738 0.0000 3.7738
Cs 3.7738 3.7738 0.0000
Pm 1.8869 1.8869 1.8869
Pm 1.8869 5.6608 5.6608
Pm 5.6608 1.8869 5.6608
Pm 5.6608 5.6608 1.8869
W 0.0000 0.0000 3.7738
W 0.0000 3.7738 0.0000
W 3.7738 0.0000 0.0000
W 3.7738 3.7738 3.7738
```

Results
total moment: 14.266 μB/cell
calculated density: 7.13 g cm⁻³
crystal system: cubic
energy: -3.973 eV/atom

(15)
Computed, not measured: crystalline GeTePd at its relaxed geometry at the GGA-PBE level of DFT.

Geometry as extended XYZ:
```
12
Lattice="6.4580 0.0000 0.0000 0.0000 6.4580 0.0000 0.0000 0.0000 6.4580" Properties=species:S:1:pos:R:3 pbc="T T T"
Ge 0.0000 0.0000 0.0000
Ge 0.0000 3.2290 3.2290
Ge 3.2290 0.0000 3.2290
Ge 3.2290 3.2290 0.0000
Te 0.0000 0.0000 3.2290
Te 0.0000 3.2290 0.0000
Te 3.2290 0.0000 0.0000
Te 3.2290 3.2290 3.2290
Pd 1.6145 1.6145 1.6145
Pd 1.6145 4.8435 4.8435
Pd 4.8435 1.6145 4.8435
Pd 4.8435 4.8435 1.6145
```

Results
calculated density: 7.56 g cm⁻³
crystal system: cubic
energy: -4.568 eV/atom

(16)
Computed, not measured: crystalline LiSmGe at its relaxed geometry at the GGA-PBE level of DFT.

Geometry as extended XYZ:
```
9
Lattice="7.1620 0.0000 0.0000 -3.5810 6.2025 0.0000 0.0000 0.0000 4.3363" Properties=species:S:1:pos:R:3 pbc="T T T"
Li -0.8280 1.4341 0.0000
Li 1.6559 0.0000 0.0000
Li 2.7530 4.7684 0.0000
Sm -2.0623 3.5720 2.1681
Sm 1.5187 2.6305 2.1681
Sm 4.1245 0.0000 2.1681
Ge 0.0000 0.0000 2.1681
Ge 0.0000 4.1350 0.0000
Ge 3.5810 2.0675 0.0000
```

Results
total moment: 0.001 μB/cell
calculated density: 5.95 g cm⁻³
crystal system: hexagonal
energy: -4.451 eV/atom

(17)
Computed, not measured: crystalline BaZnSO at its relaxed geometry at the GGA-PBE level of DFT.

Geometry as extended XYZ:
```
8
Lattice="5.9316 0.0000 0.0000 0.0000 5.9316 0.0000 0.0000 0.0000 6.6695" Properties=species:S:1:pos:R:3 pbc="T T T"
Ba 1.4829 4.4487 0.0000
Ba 4.4487 1.4829 0.0000
Zn 1.4829 1.4829 2.0867
Zn 4.4487 4.4487 4.5828
S 1.4829 1.4829 5.6326
S 4.4487 4.4487 1.0369
O 1.4829 1.4829 3.9616
O 4.4487 4.4487 2.7079
```

Results
calculated density: 3.55 g cm⁻³
crystal system: tetragonal
energy: -3.892 eV/atom

(18)
Computed, not measured: crystalline TmAl5Ag7 at its relaxed geometry at the GGA-PBE level of DFT.

Geometry as extended XYZ:
```
13
Lattice="-2.6870 4.6453 4.5790 2.6870 -4.6453 4.5790 2.6870 4.6453 -4.5790" Properties=species:S:1:pos:R:3 pbc="T T T"
Tm 0.0000 0.0000 0.0000
Al 1.3497 -2.2813 2.2572
Al 4.0243 -2.2813 2.2572
Al 1.3497 2.2813 2.2572
Al 4.0243 2.2813 2.2572
Al 0.0000 4.6453 2.5242
Ag 2.6870 1.8915 -0.0721
Ag 2.6870 0.0000 2.0230
Ag 0.0000 0.0000 3.1587
Ag 0.0000 3.1793 0.0334
Ag 0.0000 6.1114 0.0334
Ag 0.0000 0.0000 6.1109
Ag 0.0000 2.7539 4.5068
```

Results
total moment: 0.018 μB/cell
calculated density: 7.69 g cm⁻³
crystal system: orthorhombic
energy: -3.499 eV/atom

(19)
Computed, not measured: crystalline Mg3GaPt at its relaxed geometry at the GGA-PBE level of DFT.

Geometry as extended XYZ:
```
10
Lattice="6.5227 0.0000 0.0000 -3.2614 5.6489 0.0000 0.0000 0.0000 5.6879" Properties=species:S:1:pos:R:3 pbc="T T T"
Mg -0.7667 1.6782 1.4220
Mg -2.1913 4.1458 4.2659
Mg 0.7667 1.6782 4.2659
Mg -1.4246 5.4737 1.4220
Mg 2.1913 4.1458 1.4220
Mg 1.4246 5.4737 4.2659
Ga 3.2614 1.8830 0.0000
Ga 3.2614 1.8830 2.8439
Pt 0.0000 3.7659 0.0000
Pt 0.0000 3.7659 2.8439
```

Results
total moment: 0.005 μB/cell
calculated density: 5.35 g cm⁻³
crystal system: hexagonal
energy: -2.992 eV/atom

(20)
Computed, not measured: crystalline HgPtNO at its relaxed geometry at the GGA-PBE level of DFT.

Geometry as extended XYZ:
```
8
Lattice="3.9144 0.0000 0.0000 0.0000 5.3572 0.0000 0.0000 0.0000 5.6787" Properties=species:S:1:pos:R:3 pbc="T T T"
Hg 0.0000 0.2252 0.0000
Hg 0.0000 5.1320 2.8393
Pt 1.9572 2.5220 1.8726
Pt 1.9572 2.8352 4.7120
N 1.9572 1.2401 0.3080
N 1.9572 4.1171 3.1473
O 0.0000 2.1062 2.0647
O 0.0000 3.2511 4.9040
```

Results
total moment: 0.026 μB/cell
calculated density: 11.87 g cm⁻³
crystal system: orthorhombic
energy: -4.393 eV/atom

(21)
Computed, not measured: crystalline HoGeAsO at its relaxed geometry at the GGA-PBE level of DFT.

Geometry as extended XYZ:
```
8
Lattice="4.1936 0.0000 0.0000 0.0000 5.7819 0.0000 0.0000 0.0000 6.0804" Properties=species:S:1:pos:R:3 pbc="T T T"
Ho 0.0000 1.3957 0.0000
Ho 0.0000 4.3862 3.0402
Ge 2.0968 2.1480 2.3230
Ge 2.0968 3.6340 5.3632
As 2.0968 0.4158 4.2576
As 2.0968 5.3661 1.2174
O 0.0000 2.4497 1.9449
O 0.0000 3.3322 4.9851
```

Results
total moment: 0.005 μB/cell
calculated density: 7.40 g cm⁻³
crystal system: orthorhombic
energy: -6.023 eV/atom

(22)
Computed, not measured: crystalline AlZn at its relaxed geometry at the GGA-PBE level of DFT.

Geometry as extended XYZ:
```
12
Lattice="5.5986 0.0000 0.0000 0.0000 4.6667 0.0000 -1.3651 0.0000 7.2835" Properties=species:S:1:pos:R:3 pbc="T T T"
Al 0.0059 1.1667 0.8191
Al 0.0272 1.1667 5.6389
Al 1.4304 3.5001 6.4643
Al 2.8031 1.1667 0.8192
Al 4.2063 3.5001 1.6446
Al 4.2276 3.5001 6.4644
Zn 0.0221 3.5001 4.0256
Zn 1.4099 3.5001 1.6449
Zn 1.4193 1.1667 3.2458
Zn 2.8142 3.5001 4.0377
Zn 2.8236 1.1667 5.6387
Zn 4.2114 1.1667 3.2579
```

Results
calculated density: 4.84 g cm⁻³
crystal system: monoclinic
energy: -2.445 eV/atom

(23)
Computed, not measured: crystalline SmHoZn2Si2 at its relaxed geometry at the GGA-PBE level of DFT.

Geometry as extended XYZ:
```
12
Lattice="4.1573 0.0000 0.0000 -2.0787 3.6003 0.0000 0.0000 0.0000 15.9765" Properties=species:S:1:pos:R:3 pbc="T T T"
Sm 0.0000 0.0000 0.0000
Sm 0.0000 0.0000 7.9883
Ho 0.0000 0.0000 3.9941
Ho 0.0000 0.0000 11.9824
Zn 0.0000 2.4002 2.2351
Zn 0.0000 2.4002 5.7532
Zn 2.0787 1.2001 10.2233
Zn 2.0787 1.2001 13.7414
Si 0.0000 2.4002 9.9365
Si 0.0000 2.4002 14.0283
Si 2.0787 1.2001 1.9483
Si 2.0787 1.2001 6.0400
```

Results
total moment: 0.006 μB/cell
calculated density: 6.98 g cm⁻³
crystal system: hexagonal
energy: -4.420 eV/atom